A plane-wave DFT calculation with PBE was carried out for an optimized crystal structure of Li8SnBi5.

Cell lengths 8.281, 8.281, 9.308 Å; angles 90.00, 90.00, 90.00 degrees
Space group I-4 (No. 82)
Symmetry-distinct sites (fractional):
Li: 0.075 0.154 0.222 (multiplicity 8)
Li: 0.087 0.332 0.634 (multiplicity 8)
Sn: 0.000 0.500 0.250 (multiplicity 2)
Bi: 0.000 0.000 0.500 (multiplicity 2)
Bi: 0.169 0.244 0.931 (multiplicity 8)

Values from the calculation:
energy relative to the elements = -0.298 eV per atom



A plane-wave DFT calculation with PBE was carried out for an optimized crystal structure of ZnHg2F4.

Cell lengths 4.049, 4.049, 13.529 Å; angles 90.00, 90.00, 90.00 degrees
Space group I4/mmm (No. 139)
Symmetry-distinct sites (fractional):
Zn: 0.000 0.000 0.000 (multiplicity 2)
Hg: 0.000 0.000 0.342 (multiplicity 4)
F: 0.000 0.000 0.155 (multiplicity 4)
F: 0.000 0.500 0.000 (multiplicity 4)

Values from the calculation:
raw formation energy = -1417 meV per atom



A plane-wave DFT calculation with PBE was carried out for an optimized crystal structure of BaTl2PdF8.

Cell lengths 5.8791, 5.8791, 7.4547 Å; angles 90.00, 90.00, 120.00 degrees
Space group P-3m1 (No. 164)
Symmetry-distinct sites (fractional):
Ba: 0.0000 0.0000 0.0000 (multiplicity 1)
Tl: 0.3333 0.6667 0.3243 (multiplicity 2)
Pd: 0.0000 0.0000 0.5000 (multiplicity 1)
F: 0.1486 0.2971 0.6689 (multiplicity 6)
F: 0.3333 0.6667 0.0078 (multiplicity 2)

Values from the calculation:
raw formation energy = -2017 meV per atom



Number 3 is which compound? BaTl2PdF8



Please write out number 2 again, unchanged.
A plane-wave DFT calculation with PBE was carried out for an optimized crystal structure of ZnHg2F4.

Cell lengths 4.049, 4.049, 13.529 Å; angles 90.00, 90.00, 90.00 degrees
Space group I4/mmm (No. 139)
Symmetry-distinct sites (fractional):
Zn: 0.000 0.000 0.000 (multiplicity 2)
Hg: 0.000 0.000 0.342 (multiplicity 4)
F: 0.000 0.000 0.155 (multiplicity 4)
F: 0.000 0.500 0.000 (multiplicity 4)

Values from the calculation:
raw formation energy = -1417 meV per atom